TlCd2CuHg after structural relaxation. Source: Alexandria via LeMat-Bulk, functional PBE-GGA.

Cell and atoms, written as POSCAR:
```
TlCd2CuHg
1.0
5.105 0.000 0.000
0.000 5.105 0.000
0.000 0.000 5.101
Tl Cd Cu Hg
1 2 1 1
Cartesian
0.000 0.000 0.000
0.000 2.553 2.551
2.553 0.000 2.551
2.553 2.553 2.551
2.553 2.553 0.000
```

Summary:
formation energy	12.3	kJ per mole of atoms
symmetry	P4/mmm, No. 123
raw total energy	-1.591	eV/atom